A geometry-optimized Nb4CdBr7 structure, computed with PBE-GGA.

Computed properties:
DFT total energy = -4.903 eV/atom
uncorrected formation energy = -0.494 eV per atom

Cell lengths 6.4874, 8.0556, 14.9409 Å; angles 76.15, 89.98, 89.21 degrees
Space group P1 (No. 1)
Asymmetric unit:
Nb 0.0000 0.0000 0.0000 [1 per cell]
Nb 0.0004 0.2234 0.4649 [1 per cell]
Nb 0.5930 0.9258 0.9327 [1 per cell]
Nb 0.5969 0.0903 0.5374 [1 per cell]
Nb 0.6761 0.2477 0.3654 [1 per cell]
Nb 0.6773 0.9586 0.0989 [1 per cell]
Nb 0.9606 0.8800 0.8381 [1 per cell]
Nb 0.9670 0.9690 0.6303 [1 per cell]
Cd 0.3802 0.0220 0.7340 [1 per cell]
Cd 0.5856 0.5871 0.1702 [1 per cell]
Br 0.0334 0.8276 0.1764 [1 per cell]
Br 0.0383 0.2110 0.2906 [1 per cell]
Br 0.1374 0.6716 0.7370 [1 per cell]
Br 0.2269 0.7350 0.9719 [1 per cell]
Br 0.2342 0.9342 0.4972 [1 per cell]
Br 0.3823 0.1656 0.9960 [1 per cell]
Br 0.3846 0.3824 0.4622 [1 per cell]
Br 0.5397 0.0242 0.2764 [1 per cell]
Br 0.6975 0.6409 0.8867 [1 per cell]
Br 0.7095 0.7686 0.5797 [1 per cell]
Br 0.8309 0.1823 0.8462 [1 per cell]
Br 0.8382 0.2802 0.6164 [1 per cell]
Br 0.8531 0.5335 0.3881 [1 per cell]
Br 0.8619 0.2587 0.0667 [1 per cell]

A geometry-optimized NbCdBr2 structure, computed with PBE-GGA.

Computed properties:
DFT total energy = -3.933 eV/atom
uncorrected formation energy = -0.351 eV per atom
E above lowest polymorph = 0.00 kJ/mol of atoms

Cell lengths 3.3421, 3.3421, 33.2198 Å; angles 90.00, 90.00, 120.00 degrees
Space group R-3m (No. 166, hexagonal axes)
Asymmetric unit:
Nb 0.0000 0.0000 0.0000 [3 per cell]
Cd 0.0000 0.0000 0.5000 [3 per cell]
Br 0.0000 0.0000 0.3900 [6 per cell]

Number 1: total magnetization 0.0 μB per cell. Number 2: total magnetization 0.0 μB per cell.